Here is a relaxed structure of TbPm4Ga2 from Alexandria. Energies are from GGA-PBE.

It has space group R-3m (No. 166, hexagonal axes), with a = 5.0543 Å, b = 5.0543 Å, c = 30.2445 Å, α = 90.00°, β = 90.00° and γ = 120.00°. The asymmetric unit holds Tb at (0.0000, 0.0000, 0.0000), Pm at (0.0000, 0.0000, 0.2022), Pm at (0.0000, 0.0000, 0.3966) and Ga at (0.0000, 0.0000, 0.0989).

Its calculated volume is 31.862 A^3/atom. Its total energy is -91.0 eV/cell. Its crystal system is trigonal. The value obtained for the formation energy is -92 meV per atom.